(1)
NaSr2Al2: relaxed, PBE.

Computed properties:
ΔH_f (0 K) (eV/atom): 0.10
Energy above the most stable polymorph in this dataset (meV/atom): 144

abc: 6.343 6.343 6.355
angles: 60.06 60.06 90.00
Positions (direct):
Sr 0.750 0.250 0.500
Sr 0.250 0.750 0.500
Al 0.361 0.361 0.278
Al 0.639 0.639 0.722
Na 0.000 0.000 0.000

=====

(2)
Ta5Pt4Rh: relaxed, PBE.

Computed properties:
ΔH_f (0 K) (eV/atom): -0.63

abc: 2.830 2.830 20.393
angles: 90.00 90.00 90.00
Positions (direct):
Ta 0.500 0.500 0.096
Ta 0.500 0.500 0.298
Ta 0.500 0.500 0.500
Ta 0.500 0.500 0.702
Ta 0.500 0.500 0.904
Pt 0.000 0.000 0.198
Pt 0.000 0.000 0.399
Pt 0.000 0.000 0.601
Pt 0.000 0.000 0.802
Rh 0.000 0.000 0.000

=====

(3)
CaZn6Ni6: relaxed, PBE.

Computed properties:
ΔH_f (0 K) (eV/atom): -0.25

abc: 4.970 6.496 6.496
angles: 79.92 67.51 67.51
Positions (direct):
Ca 0.000 0.000 0.000
Zn 0.349 0.651 0.651
Zn 0.651 0.349 0.349
Zn 0.000 0.341 0.659
Zn 0.000 0.659 0.341
Zn 0.303 0.197 0.197
Zn 0.697 0.803 0.803
Ni 0.000 0.500 0.000
Ni 0.500 0.500 0.000
Ni 0.000 0.000 0.500
Ni 0.500 0.000 0.500
Ni 0.500 0.763 0.237
Ni 0.500 0.237 0.763

=====

(4)
Fe2CoP: relaxed, PBE.

Computed properties:
ΔH_f (0 K) (eV/atom): -0.18

abc: 3.459 2.666 5.022
angles: 74.60 90.00 90.00
Positions (direct):
Co 0.500 0.563 0.749
Fe 0.000 0.942 0.990
Fe 0.500 0.293 0.288
P 0.000 0.701 0.473

=====

(5)
ReSF3: relaxed, PBE.

Computed properties:
Raw formation energy (eV/f.u.): -1.7
Energy above the most stable polymorph in this dataset (meV/atom): 0

abc: 4.089 4.089 4.089
angles: 90.00 90.00 90.00
Positions (direct):
Re 0.000 0.000 0.000
S 0.500 0.500 0.500
F 0.000 0.500 0.000
F 0.000 0.000 0.500
F 0.500 0.000 0.000

=====

(6)
LiHgAsPd: relaxed, PBE.

Computed properties:
ΔH_f (0 K) (eV/atom): -0.27

abc: 4.608 4.608 4.608
angles: 60.00 60.00 60.00
Positions (direct):
As 0.250 0.250 0.250
Hg 0.750 0.750 0.750
Pd 0.500 0.500 0.500
Li 0.000 0.000 0.000

=====

(7)
NaAlTe2: relaxed, PBE.

Computed properties:
Raw formation energy (eV/f.u.): -2.4

abc: 4.095 4.095 8.066
angles: 75.30 75.30 60.00
Positions (direct):
Na 0.500 0.500 0.499
Al 0.667 0.667 0.000
Te 0.067 0.067 0.798
Te 0.266 0.266 0.203

=====

(8)
Mg2HgPd2: relaxed, PBE.

Computed properties:
ΔH_f (0 K) (eV/atom): -0.24
Energy above the most stable polymorph in this dataset (meV/atom): 282

abc: 4.066 4.066 6.652
angles: 72.21 72.21 90.00
Positions (direct):
Mg 0.750 0.250 0.500
Mg 0.250 0.750 0.500
Hg 0.000 0.000 0.000
Pd 0.391 0.391 0.218
Pd 0.609 0.609 0.782

=====

Per-record theoretical density, Mg/m³: 2.31; 18.18; 7.28; 7.50; 6.68; 9.33; 4.53; 7.74
Per-record D(E_F), states/eV/f.u.: 4.2; 4.5; 8.3; 3.9; 7.0; 1.5; 0.1; 1.5